DFT (PBE+U) results for crystalline TaCr2PdO at its relaxed geometry.

Summary:
As for the total magnetic moment: 5.38 Bohr magnetons per cell. For the density of states at the Fermi level, the calculation gives 0.66 states/eV per atom. As for the space group: P4/mmm. The energy comes out at -7.32 eV per atom.

a b c (Å): 4.097 4.465 4.097
angles (deg): 90.00 90.00 90.00
Fractional coordinates of all 5 atoms:
Cr: 0.000 0.000 0.500
Cr: 0.500 0.000 0.000
O: 0.000 0.000 0.000
Ta: 0.500 0.500 0.500
Pd: 0.000 0.500 0.000